This record from Alexandria via LeMat-Bulk describes a crystal of LiLa2Al relaxed with PBEsol. The functional is meta-GGA SCAN.

The structure in CIF format:
```
data_LiLa2Al
_chemical_formula_sum 'Li1 La2 Al1'
_cell_length_a 3.498
_cell_length_b 4.420
_cell_length_c 7.020
_cell_angle_alpha 90.00
_cell_angle_beta 90.00
_cell_angle_gamma 90.00
_symmetry_space_group_name_H-M 'P 1'
_symmetry_Int_Tables_number 1
_symmetry_space_group_name_Hall 'P 1'
loop_
_atom_site_label
_atom_site_fract_x
_atom_site_fract_y
_atom_site_fract_z
La1 0.000 0.000 0.722
La2 0.000 0.000 0.278
Al1 0.500 0.500 0.500
Li1 0.500 0.500 0.000
```

Size of the total moment   0.1 Bohr magnetons per cell
E_form   -0.178 eV/atom



This record from Alexandria via LeMat-Bulk describes a crystal of La6Mg22Al relaxed with PBEsol. The functional is meta-GGA SCAN.

The structure in CIF format:
```
data_La6Mg22Al
_chemical_formula_sum 'La6 Mg22 Al1'
_cell_length_a 10.159
_cell_length_b 10.159
_cell_length_c 10.159
_cell_angle_alpha 60.00
_cell_angle_beta 60.00
_cell_angle_gamma 60.00
_symmetry_space_group_name_H-M 'P 1'
_symmetry_Int_Tables_number 1
_symmetry_space_group_name_Hall 'P 1'
loop_
_atom_site_label
_atom_site_fract_x
_atom_site_fract_y
_atom_site_fract_z
Mg1 0.000 0.000 0.500
Mg2 0.171 0.487 0.171
Mg3 0.829 0.513 0.829
Mg4 0.855 0.382 0.382
Mg5 0.382 0.855 0.382
Mg6 0.829 0.829 0.829
Mg7 0.500 0.000 0.000
Mg8 0.829 0.829 0.513
Mg9 0.513 0.829 0.829
Mg10 0.500 0.500 0.000
Mg11 0.171 0.171 0.171
Mg12 0.618 0.145 0.618
Mg13 0.618 0.618 0.618
Mg14 0.382 0.382 0.855
Mg15 0.000 0.500 0.500
Mg16 0.171 0.171 0.487
Mg17 0.618 0.618 0.145
Mg18 0.500 0.000 0.500
Mg19 0.000 0.500 0.000
Mg20 0.487 0.171 0.171
Mg21 0.382 0.382 0.382
Mg22 0.145 0.618 0.618
La1 0.804 0.804 0.196
La2 0.196 0.804 0.804
La3 0.804 0.196 0.196
La4 0.196 0.196 0.804
La5 0.196 0.804 0.196
La6 0.804 0.196 0.804
Al1 0.500 0.500 0.500
```

Size of the total moment   0.7 Bohr magnetons per cell
E_form   -0.111 eV/atom



This record from Alexandria via LeMat-Bulk describes a crystal of LaMgAl4 relaxed with PBEsol. The functional is meta-GGA SCAN.

The structure in CIF format:
```
data_LaMgAl4
_chemical_formula_sum 'La1 Mg1 Al4'
_cell_length_a 5.586
_cell_length_b 5.586
_cell_length_c 5.586
_cell_angle_alpha 60.00
_cell_angle_beta 60.00
_cell_angle_gamma 60.00
_symmetry_space_group_name_H-M 'P 1'
_symmetry_Int_Tables_number 1
_symmetry_space_group_name_Hall 'P 1'
loop_
_atom_site_label
_atom_site_fract_x
_atom_site_fract_y
_atom_site_fract_z
Mg1 0.000 0.000 0.000
Al1 0.375 0.375 0.874
Al2 0.874 0.375 0.375
Al3 0.375 0.375 0.375
Al4 0.375 0.874 0.375
La1 0.750 0.750 0.750
```

Size of the total moment   0.0 Bohr magnetons per cell
E_form   -0.212 eV/atom



This record from Alexandria via LeMat-Bulk describes a crystal of LaMgAl relaxed with PBEsol. The functional is meta-GGA SCAN.

The structure in CIF format:
```
data_LaMgAl
_chemical_formula_sum 'La1 Mg1 Al1'
_cell_length_a 3.510
_cell_length_b 4.983
_cell_length_c 4.983
_cell_angle_alpha 120.00
_cell_angle_beta 90.00
_cell_angle_gamma 90.00
_symmetry_space_group_name_H-M 'P 1'
_symmetry_Int_Tables_number 1
_symmetry_space_group_name_Hall 'P 1'
loop_
_atom_site_label
_atom_site_fract_x
_atom_site_fract_y
_atom_site_fract_z
La1 0.000 0.333 0.667
Al1 0.500 0.000 0.000
Mg1 0.500 0.667 0.333
```

Size of the total moment   0.2 Bohr magnetons per cell
E_form   -0.265 eV/atom



This record from Alexandria via LeMat-Bulk describes a crystal of La2MgAl3 relaxed with PBEsol. The functional is meta-GGA SCAN.

The structure in CIF format:
```
data_La2MgAl3
_chemical_formula_sum 'La2 Mg1 Al3'
_cell_length_a 5.750
_cell_length_b 5.750
_cell_length_c 5.750
_cell_angle_alpha 60.83
_cell_angle_beta 60.83
_cell_angle_gamma 60.83
_symmetry_space_group_name_H-M 'P 1'
_symmetry_Int_Tables_number 1
_symmetry_space_group_name_Hall 'P 1'
loop_
_atom_site_label
_atom_site_fract_x
_atom_site_fract_y
_atom_site_fract_z
Al1 0.500 0.000 0.000
Al2 0.000 0.000 0.500
Al3 0.000 0.500 0.000
La1 0.381 0.381 0.381
La2 0.619 0.619 0.619
Mg1 0.000 0.000 0.000
```

Size of the total moment   0.0 Bohr magnetons per cell
E_form   -0.441 eV/atom



This record from Alexandria via LeMat-Bulk describes a crystal of LaMg8Al4 relaxed with PBEsol. The functional is meta-GGA SCAN.

The structure in CIF format:
```
data_LaMg8Al4
_chemical_formula_sum 'La1 Mg8 Al4'
_cell_length_a 5.670
_cell_length_b 7.541
_cell_length_c 7.541
_cell_angle_alpha 81.87
_cell_angle_beta 67.92
_cell_angle_gamma 67.92
_symmetry_space_group_name_H-M 'P 1'
_symmetry_Int_Tables_number 1
_symmetry_space_group_name_Hall 'P 1'
loop_
_atom_site_label
_atom_site_fract_x
_atom_site_fract_y
_atom_site_fract_z
Mg1 0.000 0.650 0.350
Mg2 0.350 0.650 0.650
Mg3 0.500 0.215 0.785
Mg4 0.000 0.350 0.650
Mg5 0.285 0.215 0.215
Mg6 0.715 0.785 0.785
Mg7 0.650 0.350 0.350
Mg8 0.500 0.785 0.215
Al1 0.500 0.500 0.000
Al2 0.500 0.000 0.500
Al3 0.000 0.000 0.500
Al4 0.000 0.500 0.000
La1 0.000 0.000 0.000
```

Size of the total moment   0.0 Bohr magnetons per cell
E_form   -0.116 eV/atom



This record from Alexandria via LeMat-Bulk describes a crystal of La8MgAl7O24 relaxed with PBEsol. The functional is meta-GGA SCAN.

The structure in CIF format:
```
data_La8MgAl7O24
_chemical_formula_sum 'La8 Mg1 Al7 O24'
_cell_length_a 7.575
_cell_length_b 7.575
_cell_length_c 7.575
_cell_angle_alpha 90.00
_cell_angle_beta 90.00
_cell_angle_gamma 90.00
_symmetry_space_group_name_H-M 'P 1'
_symmetry_Int_Tables_number 1
_symmetry_space_group_name_Hall 'P 1'
loop_
_atom_site_label
_atom_site_fract_x
_atom_site_fract_y
_atom_site_fract_z
Mg1 0.000 0.000 0.000
La1 0.751 0.249 0.751
La2 0.751 0.751 0.751
La3 0.751 0.249 0.249
La4 0.751 0.751 0.249
La5 0.249 0.751 0.751
La6 0.249 0.249 0.751
La7 0.249 0.249 0.249
La8 0.249 0.751 0.249
Al1 0.000 0.500 0.000
Al2 0.500 0.000 0.000
Al3 0.500 0.000 0.500
Al4 0.000 0.000 0.500
Al5 0.500 0.500 0.500
Al6 0.500 0.500 0.000
Al7 0.000 0.500 0.500
O1 0.252 0.000 0.500
O2 0.500 0.000 0.252
O3 0.500 0.250 0.500
O4 0.000 0.500 0.748
O5 0.750 0.500 0.500
O6 0.500 0.500 0.250
O7 0.000 0.740 0.000
O8 0.000 0.748 0.500
O9 0.000 0.500 0.252
O10 0.252 0.500 0.000
O11 0.500 0.252 0.000
O12 0.260 0.000 0.000
O13 0.250 0.500 0.500
O14 0.500 0.500 0.750
O15 0.500 0.000 0.748
O16 0.500 0.748 0.000
O17 0.500 0.750 0.500
O18 0.740 0.000 0.000
O19 0.000 0.252 0.500
O20 0.748 0.500 0.000
O21 0.000 0.260 0.000
O22 0.000 0.000 0.740
O23 0.748 0.000 0.500
O24 0.000 0.000 0.260
```

Energy relative to the elements, uncorrected   -3.584 eV/atom
Size of the total moment   0.0 Bohr magnetons per cell



This record from Alexandria via LeMat-Bulk describes a crystal of LaMgAl11O19 relaxed with PBEsol. The functional is meta-GGA SCAN.

The structure in CIF format:
```
data_LaMgAl11O19
_chemical_formula_sum 'La2 Mg2 Al22 O38'
_cell_length_a 5.604
_cell_length_b 5.604
_cell_length_c 21.997
_cell_angle_alpha 90.00
_cell_angle_beta 90.00
_cell_angle_gamma 120.00
_symmetry_space_group_name_H-M 'P 1'
_symmetry_Int_Tables_number 1
_symmetry_space_group_name_Hall 'P 1'
loop_
_atom_site_label
_atom_site_fract_x
_atom_site_fract_y
_atom_site_fract_z
Al1 0.166 0.333 0.892
Al2 0.000 0.000 0.261
Al3 0.667 0.333 0.526
Al4 0.333 0.667 0.191
Al5 0.169 0.831 0.609
Al6 0.834 0.667 0.392
Al7 0.333 0.667 0.311
Al8 0.834 0.166 0.392
Al9 0.831 0.169 0.109
Al10 0.667 0.333 0.691
Al11 0.667 0.834 0.892
Al12 0.337 0.169 0.109
Al13 0.169 0.337 0.609
Al14 0.000 0.000 0.997
Al15 0.166 0.834 0.892
Al16 0.667 0.333 0.811
Al17 0.663 0.831 0.609
Al18 0.000 0.000 0.761
Al19 0.831 0.663 0.109
Al20 0.333 0.667 0.026
Al21 0.333 0.166 0.392
Al22 0.000 0.000 0.497
O1 0.014 0.507 0.848
O2 0.507 0.014 0.348
O3 0.493 0.986 0.848
O4 0.667 0.333 0.062
O5 0.507 0.493 0.348
O6 0.667 0.333 0.444
O7 0.819 0.181 0.751
O8 0.333 0.667 0.562
O9 0.992 0.496 0.153
O10 0.496 0.504 0.653
O11 0.637 0.819 0.251
O12 0.181 0.363 0.251
O13 0.504 0.496 0.153
O14 0.333 0.667 0.944
O15 0.704 0.852 0.443
O16 0.008 0.504 0.653
O17 0.819 0.637 0.751
O18 0.148 0.852 0.443
O19 0.312 0.156 0.552
O20 0.156 0.844 0.052
O21 0.000 0.000 0.148
O22 0.852 0.148 0.943
O23 0.504 0.008 0.153
O24 0.688 0.844 0.052
O25 0.000 0.000 0.345
O26 0.156 0.312 0.052
O27 0.493 0.507 0.848
O28 0.148 0.296 0.443
O29 0.363 0.181 0.751
O30 0.852 0.704 0.943
O31 0.000 0.000 0.845
O32 0.296 0.148 0.943
O33 0.986 0.493 0.348
O34 0.000 0.000 0.648
O35 0.496 0.992 0.653
O36 0.844 0.156 0.552
O37 0.181 0.819 0.251
O38 0.844 0.688 0.552
Mg1 0.333 0.667 0.473
Mg2 0.667 0.333 0.973
La1 0.667 0.333 0.250
La2 0.333 0.667 0.750
```

Energy relative to the elements, uncorrected   -3.410 eV/atom
Size of the total moment   0.0 Bohr magnetons per cell